A plane-wave DFT calculation with GGA+U was carried out for a relaxed structure of TlCrB2F8.

Unit cell a=8.3909 b=8.3909 c=8.3909 alpha=36.16 beta=36.16 gamma=36.16
With the nearest neighbours (Å) after each atom.
Fractional positions:
Tl1 0.0000 0.0000 0.0000  12 F 3.06-3.13
Cr1 0.5000 0.5000 0.5000  6 F 2.47
B1 0.2479 0.2479 0.2479  4 F 1.42
B2 0.7521 0.7521 0.7521  4 F 1.42
F1 0.0241 0.7817 0.5089  1 B 1.42
F2 0.2183 0.4911 0.9759  1 B 1.42
F3 0.3085 0.3085 0.3085  1 B 1.42
F4 0.4911 0.9759 0.2183  1 B 1.42
F5 0.5089 0.0241 0.7817  1 B 1.42
F6 0.6915 0.6915 0.6915  1 B 1.42
F7 0.7817 0.5089 0.0241  1 B 1.42
F8 0.9759 0.2183 0.4911  1 B 1.42

Calculated values
The symmetry is R-3 (148). The spin magnetization is 5.000 μB per cell. The total DFT energy (no corrections) comes out at -5.687 eV/atom.